1.
The following is a DFT calculation (GGA-PBE) of a relaxed structure of Hf5MgPd6.

## Properties
- SG: C2/m, No. 12
- Crystal system: monoclinic
- D(E_F): 9.2 states/eV per cell
- VASP energy: -90.3 eV/f.u.
- E_form: -7.8 eV per formula unit

a = 4.670 Å, b = 8.160 Å, c = 8.160 Å
α = 120.56°, β = 106.62°, γ = 106.62°
Element x y z (fractional)
Mg (0.000, 0.000, 0.000)
Hf (0.500, 0.161, 0.839)
Hf (0.000, 0.335, 0.665)
Hf (0.500, 0.500, 0.500)
Hf (0.000, 0.665, 0.335)
Hf (0.500, 0.839, 0.161)
Pd (0.259, 0.083, 0.436)
Pd (0.741, 0.564, 0.917)
Pd (0.756, 0.258, 0.258)
Pd (0.244, 0.742, 0.742)
Pd (0.259, 0.436, 0.083)
Pd (0.741, 0.917, 0.564)

=====

2.
The following is a DFT calculation (GGA-PBE) of a relaxed structure of HfMgPd5.

## Properties
- SG: P4/mmm, No. 123
- Crystal system: tetragonal
- D(E_F): 3.6 states/eV per cell
- VASP energy: -41.7 eV/f.u.
- E_form: -4.2 eV per formula unit

a = 4.104 Å, b = 4.104 Å, c = 7.113 Å
α = 90.00°, β = 90.00°, γ = 90.00°
Element x y z (fractional)
Hf (0.000, 0.000, 0.500)
Mg (0.500, 0.500, 0.000)
Pd (0.000, 0.500, 0.767)
Pd (0.000, 0.500, 0.233)
Pd (0.500, 0.000, 0.767)
Pd (0.500, 0.000, 0.233)
Pd (0.500, 0.500, 0.500)

=====

3.
The following is a DFT calculation (GGA-PBE) of a relaxed structure of HfMg3Pd4.

## Properties
- SG: P4/mmm, No. 123
- Crystal system: tetragonal
- D(E_F): 3.1 states/eV per cell
- VASP energy: -41.3 eV/f.u.
- E_form: -5.8 eV per formula unit

a = 3.238 Å, b = 3.238 Å, c = 12.839 Å
α = 90.00°, β = 90.00°, γ = 90.00°
Element x y z (fractional)
Mg (0.500, 0.500, 0.260)
Mg (0.500, 0.500, 0.500)
Mg (0.500, 0.500, 0.740)
Hf (0.500, 0.500, 0.000)
Pd (0.000, 0.000, 0.872)
Pd (0.000, 0.000, 0.128)
Pd (0.000, 0.000, 0.378)
Pd (0.000, 0.000, 0.622)

=====

4.
The following is a DFT calculation (GGA-PBE) of a relaxed structure of HfMgPd2.

## Properties
- SG: P4/mmm, No. 123
- Crystal system: tetragonal
- D(E_F): 3.3 states/eV per cell
- VASP energy: -24.6 eV/f.u.
- E_form: -2.7 eV per formula unit

a = 3.097 Å, b = 4.738 Å, c = 4.738 Å
α = 90.00°, β = 90.00°, γ = 90.00°
Element x y z (fractional)
Mg (0.500, 0.500, 0.500)
Hf (0.500, 0.000, 0.000)
Pd (0.000, 0.000, 0.500)
Pd (0.000, 0.500, 0.000)

=====

5.
The following is a DFT calculation (GGA-PBE) of a relaxed structure of HfMgPd4.

## Properties
- SG: C2/m, No. 12
- Crystal system: monoclinic
- D(E_F): 2.6 states/eV per cell
- VASP energy: -36.4 eV/f.u.
- E_form: -4.0 eV per formula unit

a = 3.622 Å, b = 5.089 Å, c = 6.599 Å
α = 106.54°, β = 74.07°, γ = 69.15°
Element x y z (fractional)
Hf (0.000, 0.000, 0.000)
Mg (0.500, 0.500, 0.500)
Pd (0.832, 0.505, 0.831)
Pd (0.327, 0.016, 0.331)
Pd (0.168, 0.495, 0.169)
Pd (0.673, 0.984, 0.669)

=====

6.
The following is a DFT calculation (GGA-PBE) of a relaxed structure of HfMgPd2.

## Properties
- SG: I-42d, No. 122
- Crystal system: tetragonal
- D(E_F): 2.6 states/eV per cell
- VASP energy: -23.0 eV/f.u.
- E_form: -1.1 eV per formula unit

a = 7.174 Å, b = 7.174 Å, c = 5.862 Å
α = 52.27°, β = 52.27°, γ = 90.00°
Element x y z (fractional)
Mg (0.500, 0.500, 0.000)
Mg (0.250, 0.750, 0.500)
Hf (0.000, 0.000, 0.000)
Hf (0.750, 0.250, 0.500)
Pd (0.627, 0.125, 0.250)
Pd (0.123, 0.625, 0.250)
Pd (0.375, 0.373, 0.750)
Pd (0.875, 0.877, 0.750)

=====

7.
The following is a DFT calculation (GGA-PBE) of a relaxed structure of HfMgPd.

## Properties
- SG: I4mm, No. 107
- Crystal system: tetragonal
- D(E_F): 3.3 states/eV per cell
- VASP energy: -17.9 eV/f.u.
- E_form: -1.1 eV per formula unit

a = 3.153 Å, b = 3.153 Å, c = 6.157 Å
α = 104.84°, β = 104.84°, γ = 90.00°
Element x y z (fractional)
Mg (0.018, 0.018, 0.036)
Hf (0.316, 0.316, 0.632)
Pd (0.666, 0.666, 0.332)

=====

8.
The following is a DFT calculation (GGA-PBE) of a relaxed structure of Hf2MgPd6.

## Properties
- SG: C2/m, No. 12
- Crystal system: monoclinic
- D(E_F): 4.6 states/eV per cell
- VASP energy: -57.3 eV/f.u.
- E_form: -4.6 eV per formula unit

a = 2.981 Å, b = 7.561 Å, c = 8.069 Å
α = 117.94°, β = 100.28°, γ = 90.00°
Element x y z (fractional)
Hf (0.664, 0.662, 0.325)
Hf (0.336, 0.338, 0.675)
Mg (0.000, 0.000, 0.000)
Pd (0.168, 0.359, 0.335)
Pd (0.832, 0.024, 0.665)
Pd (0.832, 0.641, 0.665)
Pd (0.500, 0.305, 0.000)
Pd (0.168, 0.976, 0.335)
Pd (0.500, 0.695, 0.000)

=====

9.
The following is a DFT calculation (GGA-PBE) of a relaxed structure of Hf2MgPdPt5.

## Properties
- SG: I4/mcm, No. 140
- Crystal system: tetragonal
- D(E_F): 10.4 states/eV per cell
- VASP energy: -60.4 eV/f.u.
- E_form: -3.5 eV per formula unit

a = 7.924 Å, b = 7.924 Å, c = 7.773 Å
α = 120.64°, β = 120.64°, γ = 90.00°
Element x y z (fractional)
Hf (0.122, 0.378, 0.000)
Hf (0.622, 0.122, 0.000)
Hf (0.378, 0.878, 0.000)
Hf (0.878, 0.622, 0.000)
Mg (0.250, 0.250, 0.500)
Mg (0.750, 0.750, 0.500)
Pd (0.250, 0.750, 0.500)
Pd (0.750, 0.250, 0.500)
Pt (0.934, 0.434, 0.265)
Pt (0.669, 0.169, 0.735)
Pt (0.066, 0.566, 0.735)
Pt (0.169, 0.066, 0.735)
Pt (0.566, 0.669, 0.735)
Pt (0.831, 0.934, 0.265)
Pt (0.434, 0.331, 0.265)
Pt (0.331, 0.831, 0.265)
Pt (0.500, 0.500, 0.000)
Pt (0.000, 0.000, 0.000)

=====

10.
The following is a DFT calculation (GGA-PBE) of a relaxed structure of RbHf2MgPd.

## Properties
- SG: P4/mmm, No. 123
- Crystal system: tetragonal
- D(E_F): 6.5 states/eV per cell
- VASP energy: -21.5 eV/f.u.
- E_form: 6.2 eV per formula unit

a = 5.304 Å, b = 4.908 Å, c = 5.304 Å
α = 90.00°, β = 90.00°, γ = 90.00°
Element x y z (fractional)
Mg (0.000, 0.000, 0.000)
Hf (0.000, 0.000, 0.500)
Hf (0.500, 0.000, 0.000)
Rb (0.500, 0.500, 0.500)
Pd (0.000, 0.500, 0.000)

=====

11.
The following is a DFT calculation (GGA-PBE) of a relaxed structure of HfMgPdRu.

## Properties
- SG: F-43m, No. 216
- Crystal system: cubic
- D(E_F): 1.0 states/eV per cell
- VASP energy: -28.4 eV/f.u.
- E_form: -2.4 eV per formula unit

a = 4.540 Å, b = 4.540 Å, c = 4.540 Å
α = 60.00°, β = 60.00°, γ = 60.00°
Element x y z (fractional)
Ru (0.000, 0.000, 0.000)
Mg (0.750, 0.750, 0.750)
Hf (0.250, 0.250, 0.250)
Pd (0.500, 0.500, 0.500)

=====

12.
The following is a DFT calculation (GGA-PBE) of a relaxed structure of Hf2MgVPd.

## Properties
- SG: P4/mmm, No. 123
- Crystal system: tetragonal
- D(E_F): 4.3 states/eV per cell
- VASP energy: -29.8 eV/f.u.
- E_form: 6.0 eV per formula unit

a = 5.026 Å, b = 4.417 Å, c = 5.026 Å
α = 90.00°, β = 90.00°, γ = 90.00°
Site moments in Bohr magnetons follow the coordinates.
Element x y z (fractional)
Mg (0.000, 0.000, 0.000)  -0.01
Hf (0.000, 0.000, 0.500)  -0.03
Hf (0.500, 0.000, 0.000)  -0.07
Pd (0.000, 0.500, 0.000)  0.01
V (0.500, 0.500, 0.500)  2.47

=====

13.
The following is a DFT calculation (GGA-PBE) of a relaxed structure of HfMgZrPd.

## Properties
- SG: P4mm, No. 99
- Crystal system: tetragonal
- D(E_F): 1.4 states/eV per cell
- VASP energy: -27.0 eV/f.u.
- E_form: -1.7 eV per formula unit

a = 3.274 Å, b = 3.274 Å, c = 7.505 Å
α = 90.00°, β = 90.00°, γ = 90.00°
Element x y z (fractional)
Hf (0.500, 0.500, 0.354)
Mg (0.500, 0.500, 0.781)
Zr (0.000, 0.000, 0.080)
Pd (0.000, 0.000, 0.570)

=====

14.
The following is a DFT calculation (GGA-PBE) of a relaxed structure of PmHfMg2.

## Properties
- SG: R-3m, No. 166
- Crystal system: trigonal
- D(E_F): 4.5 states/eV per cell
- VASP energy: -17.3 eV/f.u.
- E_form: 0.6 eV per formula unit

a = 3.227 Å, b = 3.227 Å, c = 11.339 Å
α = 81.82°, β = 81.82°, γ = 60.00°
Element x y z (fractional)
Mg (0.745, 0.745, 0.766)
Mg (0.255, 0.255, 0.234)
Hf (0.000, 0.000, 0.000)
Pm (0.500, 0.500, 0.500)

=====

15.
The following is a DFT calculation (GGA-PBE) of a relaxed structure of PmHfMg2.

## Properties
- SG: P4/mmm, No. 123
- Crystal system: tetragonal
- D(E_F): 4.5 states/eV per cell
- VASP energy: -17.5 eV/f.u.
- E_form: 0.4 eV per formula unit

a = 3.604 Å, b = 3.604 Å, c = 7.631 Å
α = 90.00°, β = 90.00°, γ = 90.00°
Element x y z (fractional)
Mg (0.000, 0.000, 0.779)
Mg (0.000, 0.000, 0.221)
Hf (0.500, 0.500, 0.000)
Pm (0.500, 0.500, 0.500)

=====

16.
The following is a DFT calculation (GGA-PBE) of a relaxed structure of PrHfMg.

## Properties
- SG: I4mm, No. 107
- Crystal system: tetragonal
- D(E_F): 1.4 states/eV per cell
- VASP energy: -16.0 eV/f.u.
- E_form: 0.3 eV per formula unit

a = 3.385 Å, b = 3.385 Å, c = 7.372 Å
α = 103.27°, β = 103.27°, γ = 90.00°
Element x y z (fractional)
Pr (0.005, 0.005, 0.011)
Mg (0.320, 0.320, 0.641)
Hf (0.674, 0.674, 0.349)

=====

17.
The following is a DFT calculation (GGA-PBE) of a relaxed structure of Pr2HfMg.

## Properties
- SG: P4/mmm, No. 123
- Crystal system: tetragonal
- D(E_F): 4.8 states/eV per cell
- VASP energy: -20.8 eV/f.u.
- E_form: 0.3 eV per formula unit

a = 3.475 Å, b = 3.475 Å, c = 9.662 Å
α = 90.00°, β = 90.00°, γ = 90.00°
Element x y z (fractional)
Pr (0.000, 0.000, 0.757)
Pr (0.000, 0.000, 0.243)
Mg (0.500, 0.500, 0.500)
Hf (0.500, 0.500, 0.000)

=====

18.
The following is a DFT calculation (GGA-PBE) of a relaxed structure of Pr12Hf3Mg5.

## Properties
- SG: Ia-3d, No. 230
- Crystal system: cubic
- D(E_F): 116.0 states/eV per cell
- VASP energy: -80.0 eV/f.u.
- E_form: 15.2 eV per formula unit

a = 16.136 Å, b = 16.136 Å, c = 16.136 Å
α = 109.47°, β = 109.47°, γ = 109.47°
Site moments in Bohr magnetons follow the coordinates.
Element x y z (fractional)
Hf (0.750, 0.375, 0.125)  0.60
Hf (0.875, 0.750, 0.125)  0.60
Hf (0.375, 0.750, 0.625)  0.60
Hf (0.250, 0.125, 0.375)  0.60
Hf (0.875, 0.125, 0.250)  0.60
Hf (0.375, 0.625, 0.250)  0.60
Hf (0.625, 0.375, 0.750)  0.60
Hf (0.125, 0.875, 0.750)  0.60
Hf (0.750, 0.875, 0.625)  0.60
Hf (0.625, 0.250, 0.375)  0.60
Hf (0.125, 0.250, 0.875)  0.60
Hf (0.250, 0.625, 0.875)  0.60
Mg (0.125, 0.375, 0.250)  0.00
Mg (0.000, 0.500, 0.000)  -0.01
Mg (0.000, 0.000, 0.000)  -0.01
Mg (0.375, 0.250, 0.125)  0.00
Mg (0.500, 0.000, 0.500)  -0.01
Mg (0.500, 0.500, 0.000)  -0.01
Mg (0.125, 0.750, 0.375)  0.00
Mg (0.750, 0.125, 0.875)  0.00
Mg (0.750, 0.625, 0.375)  0.00
Mg (0.375, 0.125, 0.750)  0.00
Mg (0.625, 0.875, 0.250)  0.00
Mg (0.500, 0.500, 0.500)  -0.01
Mg (0.500, 0.000, 0.000)  -0.01
Mg (0.000, 0.000, 0.500)  -0.01
Mg (0.250, 0.375, 0.625)  0.00
Mg (0.250, 0.875, 0.125)  0.00
Mg (0.000, 0.500, 0.500)  -0.01
Mg (0.875, 0.250, 0.625)  0.00
Mg (0.625, 0.750, 0.875)  0.00
Mg (0.875, 0.625, 0.750)  0.00
Pr (0.730, 0.137, 0.069)  0.20
Pr (0.339, 0.569, 0.432)  0.20
Pr (0.931, 0.363, 0.270)  0.20
Pr (0.569, 0.230, 0.137)  0.20
Pr (0.593, 0.730, 0.661)  0.20
Pr (0.931, 0.568, 0.161)  0.20
Pr (0.339, 0.770, 0.407)  0.20
Pr (0.068, 0.907, 0.137)  0.20
Pr (0.568, 0.931, 0.661)  0.20
Pr (0.730, 0.593, 0.161)  0.20
Pr (0.770, 0.431, 0.363)  0.20
Pr (0.839, 0.932, 0.069)  0.20
Pr (0.137, 0.730, 0.569)  0.20
Pr (0.363, 0.432, 0.093)  0.20
Pr (0.093, 0.932, 0.363)  0.20
Pr (0.407, 0.137, 0.568)  0.20
Pr (0.093, 0.161, 0.230)  0.20
Pr (0.431, 0.661, 0.068)  0.20
Pr (0.839, 0.907, 0.270)  0.20
Pr (0.137, 0.407, 0.068)  0.20
Pr (0.363, 0.931, 0.770)  0.20
Pr (0.568, 0.637, 0.407)  0.20
Pr (0.932, 0.839, 0.569)  0.20
Pr (0.770, 0.339, 0.907)  0.20
Pr (0.432, 0.363, 0.593)  0.20
Pr (0.068, 0.161, 0.431)  0.20
Pr (0.230, 0.661, 0.093)  0.20
Pr (0.161, 0.093, 0.730)  0.20
Pr (0.637, 0.069, 0.230)  0.20
Pr (0.863, 0.593, 0.932)  0.20
Pr (0.569, 0.339, 0.932)  0.20
Pr (0.593, 0.863, 0.432)  0.20
Pr (0.907, 0.839, 0.770)  0.20
Pr (0.907, 0.068, 0.637)  0.20
Pr (0.863, 0.270, 0.431)  0.20
Pr (0.161, 0.068, 0.931)  0.20
Pr (0.637, 0.568, 0.907)  0.20
Pr (0.432, 0.069, 0.339)  0.20
Pr (0.270, 0.407, 0.839)  0.20
Pr (0.230, 0.569, 0.637)  0.20
Pr (0.932, 0.093, 0.863)  0.20
Pr (0.661, 0.230, 0.593)  0.20
Pr (0.431, 0.770, 0.863)  0.20
Pr (0.069, 0.432, 0.839)  0.20
Pr (0.407, 0.270, 0.339)  0.20
Pr (0.069, 0.637, 0.730)  0.20
Pr (0.661, 0.431, 0.568)  0.20
Pr (0.270, 0.863, 0.931)  0.20

=====

19.
The following is a DFT calculation (GGA-PBE) of a relaxed structure of PrHfMg2.

## Properties
- SG: R-3m, No. 166
- Crystal system: trigonal
- D(E_F): 5.5 states/eV per cell
- VASP energy: -17.3 eV/f.u.
- E_form: 0.7 eV per formula unit

a = 3.255 Å, b = 3.255 Å, c = 11.365 Å
α = 81.77°, β = 81.77°, γ = 60.00°
Element x y z (fractional)
Pr (0.500, 0.500, 0.500)
Mg (0.744, 0.744, 0.768)
Mg (0.256, 0.256, 0.232)
Hf (0.000, 0.000, 0.000)

=====

20.
The following is a DFT calculation (GGA-PBE) of a relaxed structure of PrHfMg.

## Properties
- SG: P3m1, No. 156
- Crystal system: trigonal
- D(E_F): 5.4 states/eV per cell
- VASP energy: -15.8 eV/f.u.
- E_form: 0.6 eV per formula unit

a = 3.315 Å, b = 3.315 Å, c = 16.870 Å
α = 90.00°, β = 90.00°, γ = 120.00°
Element x y z (fractional)
Hf (0.667, 0.333, 0.293)
Hf (0.667, 0.333, 0.605)
Mg (0.667, 0.333, 0.949)
Mg (0.333, 0.667, 0.449)
Pr (0.333, 0.667, 0.132)
Pr (0.333, 0.667, 0.766)

=====

21.
The following is a DFT calculation (GGA-PBE) of a relaxed structure of Pr2HfMg.

## Properties
- SG: R-3m, No. 166
- Crystal system: trigonal
- D(E_F): 4.7 states/eV per cell
- VASP energy: -19.6 eV/f.u.
- E_form: 1.5 eV per formula unit

a = 3.283 Å, b = 3.283 Å, c = 12.504 Å
α = 82.46°, β = 82.46°, γ = 60.00°
Element x y z (fractional)
Pr (0.085, 0.085, 0.744)
Pr (0.915, 0.915, 0.256)
Mg (0.500, 0.500, 0.500)
Hf (0.000, 0.000, 0.000)

=====

22.
The following is a DFT calculation (GGA-PBE) of a relaxed structure of PrHfMg2.

## Properties
- SG: P4/mmm, No. 123
- Crystal system: tetragonal
- D(E_F): 3.3 states/eV per cell
- VASP energy: -17.6 eV/f.u.
- E_form: 0.4 eV per formula unit

a = 3.319 Å, b = 3.319 Å, c = 9.176 Å
α = 90.00°, β = 90.00°, γ = 90.00°
Element x y z (fractional)
Pr (0.500, 0.500, 0.500)
Mg (0.000, 0.000, 0.777)
Mg (0.000, 0.000, 0.223)
Hf (0.500, 0.500, 0.000)

=====

23.
The following is a DFT calculation (GGA-PBE) of a relaxed structure of HfMg4Pt5.

## Properties
- SG: P4/mmm, No. 123
- Crystal system: tetragonal
- D(E_F): 4.8 states/eV per cell
- VASP energy: -55.6 eV/f.u.
- E_form: -9.1 eV per formula unit

a = 3.194 Å, b = 3.194 Å, c = 16.189 Å
α = 90.00°, β = 90.00°, γ = 90.00°
Element x y z (fractional)
Hf (0.000, 0.000, 0.000)
Mg (0.000, 0.000, 0.211)
Mg (0.000, 0.000, 0.404)
Mg (0.000, 0.000, 0.596)
Mg (0.000, 0.000, 0.789)
Pt (0.500, 0.500, 0.105)
Pt (0.500, 0.500, 0.307)
Pt (0.500, 0.500, 0.500)
Pt (0.500, 0.500, 0.693)
Pt (0.500, 0.500, 0.895)